(1)
Computed, not measured: a geometry-optimized Rb2NaPb2 structure at the GGA-PBE level of DFT.

Geometry as CIF:
```
data_Rb2NaPb2
_cell_length_a 5.590
_cell_length_b 5.590
_cell_length_c 8.782
_cell_angle_alpha 71.44
_cell_angle_beta 71.44
_cell_angle_gamma 90.00
_space_group_name_H-M_alt 'P 1'
_space_group_IT_number 1
_space_group_name_Hall 'P 1'
loop_
_atom_site_label
_atom_site_type_symbol
_atom_site_fract_x
_atom_site_fract_y
_atom_site_fract_z
Rb1 Rb 0.250 0.750 0.500
Rb2 Rb 0.750 0.250 0.500
Na1 Na 0.000 0.000 0.000
Pb1 Pb 0.589 0.589 0.822
Pb2 Pb 0.411 0.411 0.178
```

Properties
- Fermi-level density of states (states/eV/atom) = 0.781
- total magnetization (μB/f.u.) = 0.000
- E above lowest polymorph (meV per atom) = 151

---

(2)
Computed, not measured: a geometry-optimized RbNaPb3 structure at the GGA-PBE level of DFT.

Geometry as CIF:
```
data_RbNaPb3
_cell_length_a 5.747
_cell_length_b 6.924
_cell_length_c 9.619
_cell_angle_alpha 110.99
_cell_angle_beta 90.00
_cell_angle_gamma 90.00
_space_group_name_H-M_alt 'P 1'
_space_group_IT_number 1
_space_group_name_Hall 'P 1'
loop_
_atom_site_label
_atom_site_type_symbol
_atom_site_fract_x
_atom_site_fract_y
_atom_site_fract_z
Pb1 Pb 0.048 0.939 0.437
Pb2 Pb 0.548 0.858 0.249
Pb3 Pb 0.548 0.944 0.937
Pb4 Pb 0.048 0.450 0.438
Pb5 Pb 0.048 0.853 0.750
Pb6 Pb 0.548 0.346 0.249
Rb1 Rb 0.549 0.313 0.677
Rb2 Rb 0.049 0.483 0.009
Na1 Na 0.548 0.752 0.554
Na2 Na 0.048 0.045 0.132
```

Properties
- Fermi-level density of states (states/eV/atom) = 0.341
- total magnetization (μB/f.u.) = 0.000
- E above lowest polymorph (meV per atom) = 0

---

(3)
Computed, not measured: a geometry-optimized RbNaPb3 structure at the GGA-PBE level of DFT.

Geometry as CIF:
```
data_RbNaPb3
_cell_length_a 5.774
_cell_length_b 5.774
_cell_length_c 5.774
_cell_angle_alpha 90.00
_cell_angle_beta 90.00
_cell_angle_gamma 90.00
_space_group_name_H-M_alt 'P 1'
_space_group_IT_number 1
_space_group_name_Hall 'P 1'
loop_
_atom_site_label
_atom_site_type_symbol
_atom_site_fract_x
_atom_site_fract_y
_atom_site_fract_z
Rb1 Rb 0.500 0.500 0.500
Pb1 Pb 0.000 0.500 0.000
Pb2 Pb 0.500 0.000 0.000
Pb3 Pb 0.000 0.000 0.500
Na1 Na 0.000 0.000 0.000
```

Properties
- Fermi-level density of states (states/eV/atom) = 0.783
- total magnetization (μB/f.u.) = 0.000
- E above lowest polymorph (meV per atom) = 372

---

(4)
Computed, not measured: a geometry-optimized Rb3Na5Pb2 structure at the GGA-PBE level of DFT.

Geometry as CIF:
```
data_Rb3Na5Pb2
_cell_length_a 5.479
_cell_length_b 12.833
_cell_length_c 12.833
_cell_angle_alpha 90.00
_cell_angle_beta 90.00
_cell_angle_gamma 90.00
_space_group_name_H-M_alt 'P 1'
_space_group_IT_number 1
_space_group_name_Hall 'P 1'
loop_
_atom_site_label
_atom_site_type_symbol
_atom_site_fract_x
_atom_site_fract_y
_atom_site_fract_z
Rb1 Rb 0.000 0.500 0.500
Rb2 Rb 0.000 0.308 0.808
Rb3 Rb 0.000 0.000 0.000
Rb4 Rb 0.000 0.692 0.192
Rb5 Rb 0.000 0.808 0.692
Rb6 Rb 0.000 0.192 0.308
Na1 Na 0.500 0.500 0.000
Na2 Na 0.500 0.000 0.500
Na3 Na 0.500 0.942 0.244
Na4 Na 0.500 0.058 0.756
Na5 Na 0.500 0.244 0.058
Na6 Na 0.500 0.256 0.558
Na7 Na 0.500 0.756 0.942
Na8 Na 0.500 0.442 0.256
Na9 Na 0.500 0.558 0.744
Na10 Na 0.500 0.744 0.442
Pb1 Pb 0.000 0.596 0.904
Pb2 Pb 0.000 0.904 0.404
Pb3 Pb 0.000 0.404 0.096
Pb4 Pb 0.000 0.096 0.596
```

Properties
- Fermi-level density of states (states/eV/atom) = 0.448
- total magnetization (μB/f.u.) = 0.000

---

Number 1: DFT formation energy 0.41 eV per formula unit, total energy -2.05 eV/atom. Number 2: DFT formation energy -0.69 eV per formula unit, total energy -2.82 eV/atom. Number 3: DFT formation energy 1.17 eV per formula unit, total energy -2.45 eV/atom. Number 4: DFT formation energy -0.65 eV per formula unit, total energy -1.76 eV/atom.